ScVCu2Br | PBE | optimized geometry

For the formation energy without anion corrections, the calculation gives 4.388 eV per formula unit. As for the total magnetization: 3.62 μB per cell. As for the density: 4.78 g cm⁻³.

abc: 4.626 4.626 4.913
angles: 90.00 90.00 90.00
Space group P4/mmm (No. 123)
Symmetry-distinct sites (fractional):
Sc 0.000 0.000 0.000 (multiplicity 1)
V 0.500 0.500 0.000 (multiplicity 1)
Cu 0.000 0.500 0.500 (multiplicity 2)
Br 0.000 0.000 0.500 (multiplicity 1)